## LaMnGa3 (GGA-PBEsol)

Data for a geometry-optimized LaMnGa3 structure.

extended XYZ file:
```
5
Lattice="4.5733 0.0000 0.0000 0.0000 4.5733 0.0000 0.0000 0.0000 4.5733" Properties=species:S:1:pos:R:3 pbc="T T T"
La 0.0000 0.0000 0.0000
Mn 2.2866 2.2866 2.2866
Ga 0.0000 2.2866 2.2866
Ga 2.2866 0.0000 2.2866
Ga 2.2866 2.2866 0.0000
```

Results
VASP energy (eV per atom): -5.468
ΔH_f (0 K) (eV/atom): -0.44
DOS(E_F) (states/eV per atom): 0.446